Record 1
# PBE-GGA Sc3ZnN, optimized geometry
data_Sc3ZnN
_space_group_name_H-M_alt 'P 1'
_space_group_IT_number 1
_space_group_name_Hall 'P 1'
_cell_length_a 6.1097
_cell_length_b 6.1097
_cell_length_c 6.9522
_cell_angle_alpha 63.93
_cell_angle_beta 63.93
_cell_angle_gamma 90.00
loop_
_atom_site_label
_atom_site_type_symbol
_atom_site_fract_x
_atom_site_fract_y
_atom_site_fract_z
Zn1 Zn 0.8701 0.3701 0.2598
Sc1 Sc 0.6280 0.6280 0.7439
Zn2 Zn 0.6299 0.1299 0.7402
Sc2 Sc 0.6308 0.8837 0.2326
Sc3 Sc 0.3720 0.3720 0.2561
Sc4 Sc 0.1163 0.3692 0.7674
N1 N 0.2500 0.7500 0.5000
Sc5 Sc 0.1366 0.8837 0.2326
Sc6 Sc 0.1163 0.8634 0.7674
N2 N 0.0000 0.0000 0.0000
# ΔE_f (raw) = -0.42 eV per atom

---

Record 2
# PBE-GGA SrVTc2, optimized geometry
data_SrVTc2
_space_group_name_H-M_alt 'P 1'
_space_group_IT_number 1
_space_group_name_Hall 'P 1'
_cell_length_a 4.9080
_cell_length_b 4.9080
_cell_length_c 8.9400
_cell_angle_alpha 74.07
_cell_angle_beta 74.07
_cell_angle_gamma 90.00
loop_
_atom_site_label
_atom_site_type_symbol
_atom_site_fract_x
_atom_site_fract_y
_atom_site_fract_z
Sr1 Sr 0.0000 0.0000 0.0000
Tc1 Tc 0.3750 0.6248 0.7500
V1 V 0.2500 0.7500 0.5000
V2 V 0.5000 0.5000 0.0000
Sr2 Sr 0.7500 0.2500 0.5000
Tc2 Tc 0.3748 0.6250 0.2500
Tc3 Tc 0.8750 0.6252 0.7500
Tc4 Tc 0.3752 0.1250 0.2500
# Energy above the lowest structure with this stoichiometry = 68 meV/atom
# Formation energy from the elements = 0.92 eV/atom

---

Record 3
# PBE-GGA SiAg8Au2, optimized geometry
data_SiAg8Au2
_space_group_name_H-M_alt 'P 1'
_space_group_IT_number 1
_space_group_name_Hall 'P 1'
_cell_length_a 5.0252
_cell_length_b 6.9467
_cell_length_c 6.9467
_cell_angle_alpha 82.97
_cell_angle_beta 74.10
_cell_angle_gamma 74.10
loop_
_atom_site_label
_atom_site_type_symbol
_atom_site_fract_x
_atom_site_fract_y
_atom_site_fract_z
Si1 Si 0.0000 0.0000 0.0000
Ag1 Ag 0.8195 0.1557 0.6768
Au1 Au 0.4977 0.1398 0.1398
Ag2 Ag 0.6994 0.5731 0.5731
Ag3 Ag 0.1805 0.3232 0.8443
Au2 Au 0.5023 0.8602 0.8602
Ag4 Ag 0.3006 0.4269 0.4269
Ag5 Ag 0.9057 0.2707 0.2707
Ag6 Ag 0.8195 0.6768 0.1557
Ag7 Ag 0.1805 0.8443 0.3232
Ag8 Ag 0.0943 0.7293 0.7293
# ΔE_f (raw) = 0.18 eV per atom

---

Record 4
# PBE-GGA Ba3Se, optimized geometry
data_Ba3Se
_space_group_name_H-M_alt 'P 1'
_space_group_IT_number 1
_space_group_name_Hall 'P 1'
_cell_length_a 5.9362
_cell_length_b 5.9362
_cell_length_c 4.7278
_cell_angle_alpha 90.00
_cell_angle_beta 90.00
_cell_angle_gamma 90.00
loop_
_atom_site_label
_atom_site_type_symbol
_atom_site_fract_x
_atom_site_fract_y
_atom_site_fract_z
Ba1 Ba 0.0000 0.0000 0.0000
Ba2 Ba 0.5000 0.5000 0.0000
Se1 Se 0.0000 0.5000 0.5000
Ba3 Ba 0.5000 0.0000 0.5000
# Energy above the lowest structure with this stoichiometry = 441 meV/atom
# ΔE_f (raw) = -0.48 eV per atom